No. 1
Compound: NbHg2N
Source: Alexandria
Functional: PBE-GGA
Structure: optimized geometry

The structure in extended XYZ format:
```
8
Lattice="-4.572 4.572 2.013 4.572 -4.572 2.013 4.572 4.572 -2.013" Properties=species:S:1:pos:R:3 pbc="T T T"
Nb 0.000 0.000 0.000
Nb 0.000 4.572 1.006
Hg 2.286 -1.254 1.510
Hg 3.319 2.286 0.503
Hg 2.286 5.826 -0.503
Hg 1.254 2.286 2.516
N 4.572 0.000 1.006
N 0.000 0.000 2.013
```

Formation energy from raw total energies   585 meV/atom
Calculated total energy   -16.66 eV per formula unit
Space-group type   I-42d (122)

---

No. 2
Compound: Li2Tb3Cd5
Source: Alexandria
Functional: PBE-GGA
Structure: optimized geometry

The structure in extended XYZ format:
```
20
Lattice="10.511 0.000 0.000 0.000 10.511 0.000 0.000 0.000 4.159" Properties=species:S:1:pos:R:3 pbc="T T T"
Li 1.206 4.049 0.000
Li 4.049 9.305 0.000
Li 6.462 1.206 0.000
Li 9.305 6.462 0.000
Tb 0.000 0.000 0.000
Tb 1.885 7.140 0.000
Tb 3.371 1.885 0.000
Tb 5.256 5.256 0.000
Tb 7.140 8.626 0.000
Tb 8.626 3.371 0.000
Cd 0.000 5.256 2.079
Cd 0.644 2.280 2.079
Cd 2.280 9.867 2.079
Cd 2.975 4.612 2.079
Cd 4.612 7.536 2.079
Cd 5.256 0.000 2.079
Cd 5.899 2.975 2.079
Cd 7.536 5.899 2.079
Cd 8.231 0.644 2.079
Cd 9.867 8.231 2.079
```

Calculated total energy   -24.97 eV per formula unit
Space-group type   P4/mbm (127)

---

No. 3
Compound: CuRhS2
Source: Alexandria
Functional: PBE-GGA
Structure: optimized geometry

The structure in extended XYZ format:
```
8
Lattice="4.005 -4.004 0.000 4.005 4.004 0.000 -0.005 0.000 3.866" Properties=species:S:1:pos:R:3 pbc="T T T"
Cu 4.005 2.001 0.000
Cu 4.005 -2.001 0.000
Rh 2.039 0.000 0.980
Rh 6.043 0.000 2.891
S 2.002 1.522 2.881
S 2.002 -1.522 2.881
S 4.517 0.000 0.983
S 7.562 0.000 0.996
```

Formation energy from raw total energies   -276 meV/atom
Calculated total energy   -20.81 eV per formula unit
Space-group type   Cm (8)

---

No. 4
Compound: NbBiClO4
Source: Alexandria
Functional: PBE-GGA
Structure: optimized geometry

The structure in extended XYZ format:
```
14
Lattice="5.184 -3.739 0.000 5.184 3.739 0.000 -2.729 0.000 6.755" Properties=species:S:1:pos:R:3 pbc="T T T"
Nb 0.757 0.000 1.578
Nb 6.882 0.000 5.178
Bi 0.502 0.000 5.475
Bi 7.137 0.000 1.281
Cl 4.499 0.000 1.547
Cl 3.141 0.000 5.208
O 1.843 1.514 1.444
O -1.703 0.000 6.027
O 0.208 0.000 3.367
O 1.843 -1.514 1.444
O 5.796 1.514 5.311
O 7.432 0.000 3.389
O 9.342 0.000 0.729
O 5.796 -1.514 5.311
```

Formation energy from raw total energies   -1611 meV/atom
Calculated total energy   -46.91 eV per formula unit
Space-group type   C2/m (12)

---

No. 5
Compound: Rb2NaTcS
Source: Alexandria
Functional: PBE-GGA
Structure: optimized geometry

The structure in extended XYZ format:
```
5
Lattice="6.373 0.000 0.000 0.000 6.373 0.000 0.000 0.000 5.724" Properties=species:S:1:pos:R:3 pbc="T T T"
Rb 0.000 3.187 0.000
Rb 3.187 0.000 0.000
Na 0.000 0.000 2.862
Tc 0.000 0.000 0.000
S 3.187 3.187 2.862
```

Formation energy from raw total energies   1011 meV/atom
Calculated total energy   -12.69 eV per formula unit
Space-group type   P4/mmm (123)

---

No. 6
Compound: VRe3Hg
Source: Alexandria
Functional: PBE-GGA
Structure: optimized geometry

The structure in extended XYZ format:
```
5
Lattice="4.854 0.000 0.000 0.000 4.854 0.000 0.000 0.000 4.854" Properties=species:S:1:pos:R:3 pbc="T T T"
V 0.000 0.000 0.000
Re 0.000 2.427 2.427
Re 2.427 0.000 2.427
Re 2.427 2.427 0.000
Hg 2.427 2.427 2.427
```

ΔE to the lowest computed polymorph   1600 meV per atom
Calculated total energy   -30.09 eV per formula unit
Space-group type   Pm-3m (221)

---

No. 7
Compound: Nd3DyEr3Te8
Source: Alexandria
Functional: PBE-GGA
Structure: optimized geometry

The structure in extended XYZ format:
```
15
Lattice="4.377 2.527 7.217 -4.377 2.527 7.217 0.000 -5.054 7.217" Properties=species:S:1:pos:R:3 pbc="T T T"
Nd -2.189 -1.264 7.217
Nd -2.189 1.264 14.434
Nd 0.000 2.527 7.217
Dy 0.000 0.000 10.825
Er -4.377 0.000 10.825
Er -2.189 1.264 3.608
Er 2.189 1.264 3.608
Te -2.258 -1.304 12.583
Te 0.000 0.000 5.311
Te 0.000 -2.607 9.068
Te -2.258 1.304 9.068
Te 2.258 -1.304 12.583
Te 0.000 2.607 12.583
Te 0.000 0.000 16.340
Te 2.258 1.304 9.068
```

Formation energy from raw total energies   -1386 meV/atom
Calculated total energy   -78.52 eV per formula unit
Space-group type   R-3m (166)

---

No. 8
Compound: La2PuTl3
Source: Alexandria
Functional: PBE-GGA
Structure: optimized geometry

The structure in extended XYZ format:
```
6
Lattice="3.528 0.000 0.000 0.000 3.528 0.000 0.000 0.000 14.226" Properties=species:S:1:pos:R:3 pbc="T T T"
La 0.000 0.000 2.414
La 0.000 0.000 11.812
Pu 0.000 0.000 7.113
Tl 1.764 1.764 0.000
Tl 1.764 1.764 4.822
Tl 1.764 1.764 9.404
```

Calculated total energy   -32.91 eV per formula unit
Space-group type   P4/mmm (123)